Record 1
Compound: LuAuSeO
Source: OQMD
Functional: PBE
Structure: relaxed

The space group is Pmma (No. 51) and the conventional cell measures 5.481, 5.481 and 9.498 Å, with angles of 90.00, 90.00 and 90.00 degrees. The distinct sites, in fractional coordinates, are Lu at (0.250, 0.000, 0.111), Lu at (0.250, 0.500, 0.888), Au at (0.000, 0.250, 0.500), Se at (0.250, 0.000, 0.723), Se at (0.250, 0.500, 0.279) and O at (0.000, 0.251, 0.000).

The calculated volume comes out at 285.33 Å³ per cell. The crystal system is orthorhombic. The energy above the lowest structure with this stoichiometry is 2.56 kcal/mol of atoms. The value obtained for the spin magnetization is 0.00 Bohr magnetons per cell.



Record 2
Compound: LuAuSeO
Source: OQMD
Functional: PBE
Structure: relaxed

The space group is P4/nmm (No. 129, origin choice 2) and the conventional cell measures 3.876, 3.876 and 9.490 Å, with angles of 90.00, 90.00 and 90.00 degrees. The distinct sites, in fractional coordinates, are Lu at (0.250, 0.250, 0.111), Au at (0.250, 0.750, 0.500), Se at (0.250, 0.250, 0.723) and O at (0.250, 0.750, 0.000).

The calculated volume comes out at 142.57 Å³ per cell. The crystal system is tetragonal. The energy above the lowest structure with this stoichiometry is 2.56 kcal/mol of atoms. The value obtained for the spin magnetization is 0.00 Bohr magnetons per cell.



Record 3
Compound: LuAuSeO
Source: OQMD
Functional: PBE
Structure: relaxed

The space group is P2_1 (No. 4) and the conventional cell measures 5.626, 5.619 and 10.937 Å, with angles of 90.00, 92.10 and 90.00 degrees. The distinct sites, in fractional coordinates, are Lu at (0.005, 0.000, 0.090), Lu at (0.493, 0.002, 0.909), Au at (0.003, 0.023, 0.731), Au at (0.317, 0.277, 0.503), Se at (0.305, 0.220, 0.282), Se at (0.312, 0.328, 0.725), O at (0.250, 0.250, 0.002) and O at (0.252, 0.750, 0.000).

The calculated volume comes out at 345.52 Å³ per cell. The crystal system is monoclinic. The energy above the lowest structure with this stoichiometry is 0.00 kcal/mol of atoms. The value obtained for the spin magnetization is 0.00 Bohr magnetons per cell.